Computed, not measured: a relaxed structure of Pr6TlTe4 at the PBE level of DFT.

Values from the calculation:
Formation energy (no corrections) = -1162 kJ/mol of formula units
Density = 6.93 Mg/m³
Spin magnetization = 0.013 μB per formula unit
Fermi-level density of states = 21.830 states/eV per cell
Space group = No. 63

abc: 7.7130 7.7130 22.8530
angles: 90.00 90.00 146.66
Sites, in units of the cell vectors:
Pr 0.0000 0.0000 0.0000
Pr 0.0000 0.0000 0.5000
Pr 0.1671 0.8329 0.7500
Pr 0.2722 0.7278 0.0976
Pr 0.2722 0.7278 0.4024
Pr 0.4391 0.5609 0.6670
Pr 0.4391 0.5609 0.8330
Pr 0.5609 0.4391 0.1670
Pr 0.5609 0.4391 0.3330
Pr 0.7278 0.2722 0.5976
Pr 0.7278 0.2722 0.9024
Pr 0.8329 0.1671 0.2500
Tl 0.1733 0.8267 0.2500
Tl 0.8267 0.1733 0.7500
Te 0.0800 0.9200 0.6265
Te 0.0800 0.9200 0.8735
Te 0.3552 0.6448 0.5371
Te 0.3552 0.6448 0.9629
Te 0.6448 0.3552 0.0371
Te 0.6448 0.3552 0.4629
Te 0.9200 0.0800 0.1265
Te 0.9200 0.0800 0.3735



Computed, not measured: a relaxed structure of Pr5TlTe8 at the PBE level of DFT.

Values from the calculation:
Formation energy (no corrections) = -1669 kJ/mol of formula units
Density = 5.31 Mg/m³
Spin magnetization = 0.000 μB per formula unit
Space group = No. 216

abc: 9.4855 9.4855 9.4855
angles: 60.00 60.00 60.00
Sites, in units of the cell vectors:
Pr 0.0000 0.0000 0.0000
Pr 0.1379 0.6207 0.6207
Pr 0.6207 0.1379 0.6207
Pr 0.6207 0.6207 0.1379
Pr 0.6207 0.6207 0.6207
Tl 0.2500 0.2500 0.2500
Te 0.3868 0.3868 0.3868
Te 0.3868 0.3868 0.8396
Te 0.3868 0.8396 0.3868
Te 0.3994 0.8669 0.8669
Te 0.8396 0.3868 0.3868
Te 0.8669 0.3994 0.8669
Te 0.8669 0.8669 0.3994
Te 0.8669 0.8669 0.8669



Computed, not measured: a relaxed structure of Pr2TlTe at the PBE level of DFT.

Values from the calculation:
Formation energy (no corrections) = -309 kJ/mol of formula units
Density = 7.55 Mg/m³
Spin magnetization = 0.000 μB per formula unit
Fermi-level density of states = 12.268 states/eV per cell
Space group = No. 160
Distance to the lowest polymorph of the same formula = 138 meV per atom

abc: 4.2485 4.2485 25.9063
angles: 90.00 90.00 120.00
Sites, in units of the cell vectors:
Pr 0.0000 0.0000 0.0000
Pr 0.0000 0.0000 0.1776
Pr 0.3333 0.6667 0.6667
Pr 0.3333 0.6667 0.8443
Pr 0.6667 0.3333 0.3333
Pr 0.6667 0.3333 0.5110
Tl 0.0000 0.0000 0.7561
Tl 0.3333 0.6667 0.4228
Tl 0.6667 0.3333 0.0895
Te 0.0000 0.0000 0.5879
Te 0.3333 0.6667 0.2545
Te 0.6667 0.3333 0.9212



Computed, not measured: a relaxed structure of Pr4TlTe2 at the PBE level of DFT.

Values from the calculation:
Formation energy (no corrections) = -573 kJ/mol of formula units
Density = 6.92 Mg/m³
Spin magnetization = 0.001 μB per formula unit
Fermi-level density of states = 14.767 states/eV per cell
Space group = No. 122
Distance to the lowest polymorph of the same formula = 39 meV per atom

abc: 8.6082 8.6082 8.6082
angles: 108.99 108.99 110.44
Sites, in units of the cell vectors:
Pr 0.0424 0.3721 0.2929
Pr 0.0793 0.7495 0.7071
Pr 0.1221 0.2924 0.7929
Pr 0.2505 0.9576 0.3297
Pr 0.4995 0.3293 0.2071
Pr 0.6279 0.9207 0.6703
Pr 0.6707 0.8779 0.1703
Pr 0.7076 0.5005 0.8297
Tl 0.0000 0.0000 0.0000
Tl 0.7500 0.2500 0.5000
Te 0.3509 0.6250 0.2259
Te 0.3750 0.6009 0.7259
Te 0.3991 0.1250 0.7741
Te 0.8750 0.6491 0.2741



Computed, not measured: a relaxed structure of Pr5TlTe6 at the PBE level of DFT.

Values from the calculation:
Formation energy (no corrections) = -1505 kJ/mol of formula units
Density = 6.84 Mg/m³
Spin magnetization = 0.000 μB per formula unit
Fermi-level density of states = 6.315 states/eV per cell
Space group = No. 12

abc: 7.8902 7.8902 7.9860
angles: 99.53 99.53 119.92
Sites, in units of the cell vectors:
Pr 0.0000 0.0000 0.0000
Pr 0.1665 0.8335 0.5000
Pr 0.3401 0.6599 0.0000
Pr 0.6599 0.3401 0.0000
Pr 0.8335 0.1665 0.5000
Tl 0.5000 0.5000 0.5000
Te 0.0763 0.4150 0.2445
Te 0.2449 0.2449 0.7467
Te 0.4150 0.0763 0.2445
Te 0.5850 0.9237 0.7555
Te 0.7551 0.7551 0.2533
Te 0.9237 0.5850 0.7555



Computed, not measured: a relaxed structure of Pr3TlTe6 at the PBE level of DFT.

Values from the calculation:
Formation energy (no corrections) = -1054 kJ/mol of formula units
Density = 6.30 Mg/m³
Spin magnetization = 0.000 μB per formula unit
Fermi-level density of states = 0.532 states/eV per cell
Space group = No. 36

abc: 9.9437 9.9437 7.5936
angles: 90.00 90.00 102.27
Sites, in units of the cell vectors:
Pr 0.0910 0.9090 0.5000
Pr 0.2220 0.4129 0.3863
Pr 0.4129 0.2220 0.8863
Pr 0.5871 0.7780 0.3863
Pr 0.7780 0.5871 0.8863
Pr 0.9090 0.0910 0.0000
Tl 0.2949 0.7051 0.8658
Tl 0.7051 0.2949 0.3658
Te 0.0521 0.5954 0.6504
Te 0.1247 0.2034 0.6969
Te 0.2034 0.1247 0.1969
Te 0.2746 0.7254 0.2436
Te 0.4046 0.9479 0.6504
Te 0.4683 0.5317 0.6919
Te 0.5317 0.4683 0.1919
Te 0.5954 0.0521 0.1504
Te 0.7254 0.2746 0.7436
Te 0.7966 0.8753 0.6969
Te 0.8753 0.7966 0.1969
Te 0.9479 0.4046 0.1504



Computed, not measured: a relaxed structure of Pr5Tl2Te2 at the PBE level of DFT.

Values from the calculation:
Formation energy (no corrections) = -729 kJ/mol of formula units
Density = 7.86 Mg/m³
Spin magnetization = 0.001 μB per formula unit
Fermi-level density of states = 21.079 states/eV per cell
Space group = No. 64

abc: 9.1336 9.1336 8.4424
angles: 90.00 90.00 55.16
Sites, in units of the cell vectors:
Pr 0.0000 0.0000 0.0000
Pr 0.0312 0.6897 0.6643
Pr 0.1897 0.5312 0.1643
Pr 0.3103 0.9688 0.6643
Pr 0.4688 0.8103 0.1643
Pr 0.5000 0.5000 0.5000
Pr 0.5312 0.1897 0.8357
Pr 0.6897 0.0312 0.3357
Pr 0.8103 0.4688 0.8357
Pr 0.9688 0.3103 0.3357
Tl 0.1305 0.8695 0.3733
Tl 0.3695 0.6305 0.8733
Tl 0.6305 0.3695 0.1267
Tl 0.8695 0.1305 0.6267
Te 0.1995 0.1995 0.0000
Te 0.3005 0.3005 0.5000
Te 0.6995 0.6995 0.5000
Te 0.8005 0.8005 0.0000



Computed, not measured: a relaxed structure of Pr4TlTe at the PBE level of DFT.

Values from the calculation:
Formation energy (no corrections) = -326 kJ/mol of formula units
Density = 7.33 Mg/m³
Spin magnetization = 0.204 μB per formula unit
Fermi-level density of states = 32.347 states/eV per cell
Space group = No. 62
Distance to the lowest polymorph of the same formula = 0 meV per atom

abc: 7.6897 4.8394 21.8092
angles: 90.00 90.00 90.00
Sites, in units of the cell vectors:
Pr 0.0549 0.2500 0.0770
Pr 0.0725 0.2500 0.3588
Pr 0.0803 0.2500 0.7832
Pr 0.1434 0.2500 0.5327
Pr 0.3566 0.7500 0.0327
Pr 0.4197 0.7500 0.2832
Pr 0.4275 0.7500 0.8588
Pr 0.4451 0.7500 0.5770
Pr 0.5549 0.2500 0.4230
Pr 0.5725 0.2500 0.1412
Pr 0.5803 0.2500 0.7168
Pr 0.6434 0.2500 0.9673
Pr 0.8566 0.7500 0.4673
Pr 0.9197 0.7500 0.2168
Pr 0.9275 0.7500 0.6412
Pr 0.9451 0.7500 0.9230
Tl 0.2176 0.2500 0.9310
Tl 0.2824 0.7500 0.4310
Tl 0.7176 0.2500 0.5690
Tl 0.7824 0.7500 0.0690
Te 0.2063 0.2500 0.2164
Te 0.2937 0.7500 0.7164
Te 0.7063 0.2500 0.2836
Te 0.7937 0.7500 0.7836